1.
Below is a relaxed structure of La2CePr6Nd, with properties calculated at the GGA-PBE level.

Cell: 9.1704 7.0233 6.8198 Å, 120.99 104.41 90.00°
With the nearest neighbours (Å) after each atom.
Atoms (fractional coordinates):
Pr 0.1994 0.5763 0.6303  1 La 3.21, 2 Pr 3.36-3.53, 1 Nd 3.41
Pr 0.8006 0.4237 0.3697  1 La 3.21, 2 Pr 3.36-3.53, 1 Nd 3.41
Pr 0.5874 0.3781 0.7561  1 Ce 3.64, 7 Pr 3.65-4.00, 2 Nd 3.96
Pr 0.1994 0.0540 0.6303  1 La 3.21, 2 Pr 3.36-3.53, 1 Nd 3.41
Pr 0.8006 0.9460 0.3697  1 La 3.21, 2 Pr 3.36-3.53, 1 Nd 3.41
Pr 0.4126 0.6219 0.2439  1 Ce 3.64, 7 Pr 3.65-4.00, 2 Nd 3.96
La 0.8357 0.9171 0.8341  1 La 3.07, 2 Pr 3.21
La 0.1643 0.0829 0.1659  1 La 3.07, 2 Pr 3.21
Nd 0.5000 0.0000 0.0000  4 Pr 3.41, 2 La 3.49
Ce 0.0000 0.5000 0.0000  10 Pr 3.64-3.98, 4 La 3.83

Values from the calculation:
energy of formation: 0.2080 eV/atom
DOS(E_F): 2.046 states/eV/atom
E: -4.715 eV per atom

2.
Below is a relaxed structure of KSe2N2, with properties calculated at the GGA-PBE level.

Cell: 4.2877 4.2877 5.2343 Å, 90.00 90.00 90.00°
With the nearest neighbours (Å) after each atom.
Atoms (fractional coordinates):
N 0.0000 0.5000 0.0000  2 Se 2.14
N 0.5000 0.0000 0.0000  2 Se 2.14
Se 0.0000 0.0000 0.5000  2 Se 2.62
Se 0.0000 0.0000 0.0000  4 N 2.14
K 0.5000 0.5000 0.5000  4 Se 3.03, 8 N 3.38

Values from the calculation:
DOS(E_F): 0.331 states/eV/atom
formation energy (no corrections): 1.21 eV/atom
E: -3.734 eV per atom

3.
Below is a relaxed structure of RbScC, with properties calculated at the GGA-PBE level.

Cell: 14.2372 4.1742 3.5933 Å, 115.34 93.76 101.42°
With the nearest neighbours (Å) after each atom.
Atoms (fractional coordinates):
C 0.2629 0.6386 0.5157  1 C 1.40
C 0.3153 0.3709 0.3946  1 C 1.40
Sc 0.3621 0.8667 0.1552  3 C 2.17-2.31
Sc 0.2161 0.1428 0.7552  3 C 2.17-2.31
Rb 0.9557 0.4214 0.8417  2 Rb 3.59
Rb 0.6225 0.5879 0.0711  2 Rb 3.59

Values from the calculation:
energy of formation: 0.0305 eV/atom
DOS(E_F): 0.600 states/eV/atom
E: -5.477 eV per atom

4.
Below is a relaxed structure of FeBiCl6, with properties calculated at the GGA-PBE level.

Cell: 6.6345 7.8277 7.8277 Å, 67.65 73.59 106.41°
With the nearest neighbours (Å) after each atom.
Atoms (fractional coordinates):
Cl 0.3667 0.2497 0.7503  1 Fe 2.30
Cl 0.8831 0.0000 0.7503  1 Fe 2.30
Cl 0.1169 0.0000 0.2497  1 Fe 2.30
Cl 0.1169 0.7503 0.0000  1 Fe 2.30
Cl 0.8831 0.2497 0.0000  1 Fe 2.30
Cl 0.6333 0.7503 0.2497  1 Fe 2.30
Bi 0.5000 0.0000 0.0000  6 Cl 2.73
Fe 0.0000 0.0000 0.0000  6 Cl 2.30

Values from the calculation:
DOS(E_F): 1.247 states/eV/atom
formation energy (no corrections): -0.72 eV/atom
E: -3.651 eV per atom

5.
Below is a relaxed structure of PmThN2, with properties calculated at the GGA-PBE level.

Cell: 3.6333 3.6333 11.9596 Å, 90.00 90.00 120.00°
With the nearest neighbours (Å) after each atom.
Atoms (fractional coordinates):
N 0.6667 0.3333 0.8834  3 Th 2.52, 3 Pm 2.64
N 0.6667 0.3333 0.6166  3 Th 2.52, 3 Pm 2.64
N 0.3333 0.6667 0.1166  3 Th 2.52, 3 Pm 2.64
N 0.3333 0.6667 0.3834  3 Th 2.52, 3 Pm 2.64
Pm 0.6667 0.3333 0.2500  6 N 2.64
Pm 0.3333 0.6667 0.7500  6 N 2.64
Th 0.0000 0.0000 0.5000  6 N 2.52
Th 0.0000 0.0000 0.0000  6 N 2.52

Values from the calculation:
DOS(E_F): 0.398 states/eV/atom
formation energy (no corrections): -1.52 eV/atom
E: -8.720 eV per atom

6.
Below is a relaxed structure of PmThAs2, with properties calculated at the GGA-PBE level.

Cell: 4.2510 4.2510 7.3379 Å, 73.20 73.20 59.98°
With the nearest neighbours (Å) after each atom.
Atoms (fractional coordinates):
As 0.2503 0.2503 0.2489  3 Th 3.00, 3 Pm 3.01
As 0.7497 0.7497 0.7511  3 Th 3.00, 3 Pm 3.01
Pm 0.5000 0.5000 0.5000  6 As 3.01
Th 0.0000 0.0000 0.0000  6 As 3.00

Values from the calculation:
energy of formation: -1.4791 eV/atom
DOS(E_F): 0.468 states/eV/atom
E: -6.846 eV per atom